! Nd2Sm2Ga4Si (GGA-PBE, optimized geometry); values from VASP
&SYSTEM
  ibrav = 0, nat = 9, ntyp = 4
/
ATOMIC_SPECIES
Nd 144.24 Nd.upf
Sm 150.36 Sm.upf
Ga 69.72 Ga.upf
Si 28.09 Si.upf
CELL_PARAMETERS angstrom
-3.5439 3.5439 4.4385
3.5439 -3.5439 4.4385
3.5439 3.5439 -4.4385
ATOMIC_POSITIONS crystal
Nd 0.2500 0.7500 0.5000
Nd 0.7500 0.2500 0.5000
Sm 0.1923 0.1923 0.0000
Sm 0.8077 0.8077 0.0000
Ga 0.2561 0.2561 0.5122
Ga 0.2561 0.7439 0.0000
Ga 0.7439 0.2561 0.0000
Ga 0.7439 0.7439 0.4878
Si 0.5000 0.5000 0.0000
! - SG = I4/mmm, No. 139
! - formation energy (no corrections) (eV per atom) = -0.35
! - DFT total energy (eV per atom) = -4.402